Model one:
LaNdAg4: optimized geometry, PBE.

## Properties
total magnetization	0.030	μB per atom

Structure (POSCAR):
```
LaNdAg4
1.0
3.9885 0.0000 0.0000
0.0000 10.0073 0.0000
-0.0071 0.0000 4.0049
La Nd Ag
1 1 4
direct
0.0000 0.0000 0.0000
0.5000 0.5000 0.5000
0.0000 0.2535 0.5000
0.0000 0.7465 0.5000
0.5000 0.2543 0.0000
0.5000 0.7457 0.0000
```

---

Model two:
LaNdAg4: optimized geometry, PBE.

## Properties
total magnetization	0.000	μB per atom

Structure (POSCAR):
```
LaNdAg4
1.0
3.6508 0.0000 0.0000
0.0000 4.8553 0.0000
0.0000 0.0000 8.3164
La Nd Ag
1 1 4
direct
0.0000 0.0000 0.0000
0.0000 0.5000 0.5000
0.5000 0.0000 0.3339
0.5000 0.0000 0.6661
0.5000 0.5000 0.1692
0.5000 0.5000 0.8308
```

---

model two is preferred energetically. Next in line: 279 meV per atom higher.

---

Model one:
La2Nd2Ag: optimized geometry, PBE.

## Properties
total magnetization	0.000	μB per atom

Structure (POSCAR):
```
La2Nd2Ag
1.0
4.2454 -4.7988 0.0000
4.2454 4.7988 0.0000
-3.4320 0.0000 7.8862
La Nd Ag
4 4 2
direct
0.1667 0.1667 0.4303
0.2806 0.2806 0.8844
0.7194 0.7194 0.1156
0.8333 0.8333 0.5697
0.2280 0.6074 0.2739
0.3926 0.7720 0.7261
0.6074 0.2280 0.2739
0.7720 0.3926 0.7261
0.1557 0.8443 0.0000
0.8443 0.1557 0.0000
```

---

Model two:
La2Nd2Ag: optimized geometry, PBE.

## Properties
total magnetization	0.000	μB per atom

Structure (POSCAR):
```
La2Nd2Ag
1.0
-1.8757 1.8757 11.7017
1.8757 -1.8757 11.7017
1.8757 1.8757 -11.7017
La Nd Ag
2 2 1
direct
0.0845 0.0845 0.0000
0.9155 0.9155 0.0000
0.3030 0.3030 0.0000
0.6970 0.6970 0.0000
0.5000 0.5000 0.0000
```

---

model two is preferred energetically. Next in line: 77 meV per atom higher.

---

Model one:
La4NdAg: optimized geometry, PBE.

## Properties
total magnetization	0.000	μB per atom

Structure (POSCAR):
```
La4NdAg
1.0
3.7852 0.0000 0.0000
0.0000 3.7852 0.0000
0.0000 0.0000 13.9754
La Nd Ag
4 1 1
direct
0.0000 0.0000 0.1377
0.0000 0.0000 0.8623
0.5000 0.5000 0.3181
0.5000 0.5000 0.6819
0.0000 0.0000 0.5000
0.5000 0.5000 0.0000
```

---

Model two:
La4NdAg: optimized geometry, PBE.

## Properties
total magnetization	0.000	μB per atom

Structure (POSCAR):
```
La4NdAg
1.0
2.8813 -10.5491 0.0000
2.8813 10.5491 0.0000
0.0000 0.0000 6.5816
La Nd Ag
8 2 2
direct
0.0382 0.9618 0.5000
0.1854 0.8146 0.3218
0.2538 0.7462 0.7378
0.4391 0.5609 0.6734
0.5609 0.4391 0.1734
0.7462 0.2538 0.2378
0.8146 0.1854 0.8218
0.9618 0.0382 0.0000
0.3684 0.6316 0.1854
0.6316 0.3684 0.6854
0.1099 0.8901 0.9230
0.8901 0.1099 0.4230
```

---

model one is preferred energetically. Next in line: 80 meV per atom higher.

---

Model one:
La6NdAg2: optimized geometry, PBE.

## Properties
total magnetization	0.000	μB per atom

Structure (POSCAR):
```
La6NdAg2
1.0
7.8658 -5.8333 0.0000
7.8658 5.8333 0.0000
-0.5073 0.0000 6.3244
La Nd Ag
12 2 4
direct
0.0626 0.8224 0.9980
0.1484 0.3911 0.1732
0.1776 0.9374 0.5020
0.2334 0.5410 0.6942
0.3911 0.1484 0.6732
0.4590 0.7666 0.8058
0.5410 0.2334 0.1942
0.6089 0.8516 0.3268
0.7666 0.4590 0.3058
0.8224 0.0626 0.4980
0.8516 0.6089 0.8268
0.9374 0.1776 0.0020
0.3934 0.6066 0.2500
0.6066 0.3934 0.7500
0.0337 0.2956 0.5999
0.2956 0.0337 0.0999
0.7044 0.9663 0.9001
0.9663 0.7044 0.4001
```

---

Model two:
La6NdAg2: optimized geometry, PBE.

## Properties
total magnetization	0.000	μB per atom

Structure (POSCAR):
```
La6NdAg2
1.0
6.5416 -1.9130 0.0000
6.5416 1.9130 0.0000
-3.7716 0.0000 11.7510
La Nd Ag
6 1 2
direct
0.0273 0.0273 0.3323
0.3121 0.3121 0.4088
0.3169 0.3169 0.1232
0.6831 0.6831 0.8768
0.6879 0.6879 0.5912
0.9727 0.9727 0.6677
0.0000 0.0000 0.0000
0.3547 0.3547 0.8068
0.6453 0.6453 0.1932
```

---

model two is preferred energetically. Next in line: 67 meV per atom higher.

---

Model one:
LaNdAgPt: optimized geometry, PBE.

## Properties
total magnetization	0.000	μB per atom

Structure (POSCAR):
```
LaNdAgPt
1.0
4.6703 0.0000 0.0000
0.0000 1.9884 5.6696
0.0000 -1.9884 5.6696
La Nd Ag Pt
1 1 1 1
direct
0.0000 0.0000 0.0000
0.5000 0.2749 0.2749
0.0000 0.7188 0.7188
0.5000 0.5477 0.5477
```

---

Model two:
LaNdAgPt: optimized geometry, PBE.

## Properties
total magnetization	0.000	μB per atom

Structure (POSCAR):
```
LaNdAgPt
1.0
0.0000 3.7027 3.7027
3.7027 0.0000 3.7027
3.7027 3.7027 0.0000
La Nd Ag Pt
1 1 1 1
direct
0.0000 0.0000 0.0000
0.5000 0.5000 0.5000
0.2500 0.2500 0.2500
0.7500 0.7500 0.7500
```

---

model one is preferred energetically. Next in line: 49 meV per atom higher.

---

Model one:
LaNiAg: optimized geometry, PBE.

## Properties
total magnetization	0.000	μB per atom

Structure (POSCAR):
```
LaNiAg
1.0
1.9110 -8.6014 0.0000
1.9110 8.6014 0.0000
0.0000 0.0000 3.9520
La Ni Ag
2 2 2
direct
0.1013 0.8987 0.7500
0.8987 0.1013 0.2500
0.4570 0.5430 0.7500
0.5430 0.4570 0.2500
0.2902 0.7098 0.7500
0.7098 0.2902 0.2500
```

---

Model two:
LaNiAg: optimized geometry, PBE.

## Properties
total magnetization	0.000	μB per atom

Structure (POSCAR):
```
LaNiAg
1.0
0.0000 3.2927 3.2927
3.2927 0.0000 3.2927
3.2927 3.2927 0.0000
La Ni Ag
1 1 1
direct
0.0000 0.0000 0.0000
0.7500 0.7500 0.7500
0.5000 0.5000 0.5000
```

---

model one is preferred energetically. Next in line: 161 meV per atom higher.

---

Model one:
LaNiAg: optimized geometry, PBE.

## Properties
total magnetization	0.000	μB per atom

Structure (POSCAR):
```
LaNiAg
1.0
-1.7753 1.7753 5.0819
1.7753 -1.7753 5.0819
1.7753 1.7753 -5.0819
La Ni Ag
1 1 1
direct
0.0000 0.0000 0.0000
0.6596 0.6596 0.0000
0.2931 0.2931 0.0000
```

---

Model two:
LaNiAg: optimized geometry, PBE.

## Properties
total magnetization	0.000	μB per atom

Structure (POSCAR):
```
LaNiAg
1.0
4.5103 0.0000 0.0000
-2.2551 3.9060 0.0000
0.0000 0.0000 3.8100
La Ni Ag
1 1 1
direct
0.0000 0.0000 0.0000
0.3333 0.6667 0.4978
0.6667 0.3333 0.5003
```

---

model two is preferred energetically. Next in line: 123 meV per atom higher.

---

Model one:
LaNiAg: optimized geometry, PBE.

## Properties
total magnetization	0.000	μB per atom

Structure (POSCAR):
```
LaNiAg
1.0
6.5785 0.0000 0.0000
0.0000 5.4282 0.0000
-2.8564 0.0000 7.1412
La Ni Ag
4 4 4
direct
0.1852 0.1041 0.3748
0.1852 0.3959 0.8748
0.8148 0.6041 0.1252
0.8148 0.8959 0.6252
0.1654 0.6170 0.5198
0.1654 0.8830 0.0198
0.8346 0.1170 0.9802
0.8346 0.3830 0.4802
0.4194 0.5920 0.3043
0.4194 0.9080 0.8043
0.5806 0.0920 0.1957
0.5806 0.4080 0.6957
```

---

Model two:
LaNiAg: optimized geometry, PBE.

## Properties
total magnetization	0.000	μB per atom

Structure (POSCAR):
```
LaNiAg
1.0
0.0000 3.4454 3.4454
3.4454 0.0000 3.4454
3.4454 3.4454 0.0000
La Ni Ag
1 1 1
direct
0.0000 0.0000 0.0000
0.2500 0.2500 0.2500
0.7500 0.7500 0.7500
```

---

model one is preferred energetically. Next in line: 654 meV per atom higher.